1.
First-principles (PBE) data for CsFe2Rh after structural relaxation, as listed in Alexandria via LeMat-Bulk.

Output
SG = Fm-3m, No. 225
Energy relative to the elements = 1.396 eV/atom
Crystal system = cubic
Total magnetization = 5.901 Bohr magnetons per cell

Geometry as POSCAR:
```
CsFe2Rh
1.0
0.0000 3.2906 3.2906
3.2906 0.0000 3.2906
3.2906 3.2906 0.0000
Cs Rh Fe
1 1 2
Cartesian
3.2906 3.2906 3.2906
0.0000 0.0000 0.0000
1.6453 1.6453 1.6453
4.9360 4.9360 4.9360
```

***

2.
First-principles (PBE) data for CsFeRh3 after structural relaxation, as listed in Alexandria via LeMat-Bulk.

Output
Polymorph energy (0 for the lowest one) = 621 kJ/mol of formula units
SG = Pm-3m, No. 221
Energy relative to the elements = 2.358 eV/atom
Crystal system = cubic
Total magnetization = 3.927 Bohr magnetons per cell

Geometry as POSCAR:
```
CsFeRh3
1.0
4.8955 0.0000 0.0000
0.0000 4.8955 0.0000
0.0000 0.0000 4.8955
Rh Fe Cs
3 1 1
Cartesian
0.0000 0.0000 2.4477
2.4477 0.0000 0.0000
0.0000 2.4477 0.0000
2.4477 2.4477 2.4477
0.0000 0.0000 0.0000
```

***

3.
First-principles (PBE) data for CsFeRh3 after structural relaxation, as listed in Alexandria via LeMat-Bulk.

Output
Polymorph energy (0 for the lowest one) = 0 kJ/mol of formula units
SG = Pm-3m, No. 221
Energy relative to the elements = 1.071 eV/atom
Crystal system = cubic
Total magnetization = 0.000 Bohr magnetons per cell

Geometry as POSCAR:
```
CsFeRh3
1.0
-2.1688 2.7370 -3.0858
-0.3581 -3.5982 -2.9398
-4.1092 -1.1310 1.8849
Cs Rh Fe
1 3 1
Cartesian
-3.3180 -0.9961 -2.0704
-2.0546 -0.5655 0.9424
-0.1790 -1.7991 -1.4699
-1.0844 1.3685 -1.5429
0.0000 0.0000 0.0000
```

***

4.
First-principles (PBE) data for Cs2FeRhSe4 after structural relaxation, as listed in Alexandria via LeMat-Bulk.

Output
SG = Fddd, No. 70
Raw formation energy = -0.677 eV per atom
Crystal system = orthorhombic
Total magnetization = 4.215 Bohr magnetons per cell

Geometry as POSCAR:
```
Cs2FeRhSe4
1.0
5.7942 0.0000 0.0000
2.8971 7.2983 0.0000
2.8971 0.0000 12.4969
Rh Cs Se Fe
2 4 8 2
Cartesian
7.2427 3.6492 6.2484
0.0000 0.0000 0.0000
5.7942 0.0000 4.4801
2.8971 0.0000 8.0168
7.2427 3.6492 1.7684
7.2427 3.6492 10.7285
2.9709 2.3204 4.9243
4.2718 1.3288 1.3241
8.7651 4.9780 7.5725
5.7203 4.9780 4.9243
5.7203 2.3204 7.5725
4.4194 5.9695 1.3241
10.0660 5.9695 11.1728
4.4194 1.3288 11.1728
4.3456 3.6492 6.2484
2.8971 0.0000 0.0000
```

***

5.
First-principles (PBE) data for CsFeTcRh2 after structural relaxation, as listed in Alexandria via LeMat-Bulk.

Output
SG = P4/mmm, No. 123
Energy relative to the elements = 2.644 eV/atom
Crystal system = tetragonal
Total magnetization = 6.436 Bohr magnetons per cell

Geometry as POSCAR:
```
CsFeTcRh2
1.0
4.9011 0.0000 0.0000
0.0000 4.7178 0.0000
0.0000 0.0000 4.9011
Fe Cs Tc Rh
1 1 1 2
Cartesian
0.0000 2.3589 0.0000
0.0000 0.0000 0.0000
2.4506 2.3589 2.4506
0.0000 0.0000 2.4506
2.4506 0.0000 0.0000
```

***

6.
First-principles (PBE) data for CsZrFe2Rh after structural relaxation, as listed in Alexandria via LeMat-Bulk.

Output
SG = P4/mmm, No. 123
Energy relative to the elements = 1.544 eV/atom
Crystal system = tetragonal
Total magnetization = 4.175 Bohr magnetons per cell

Geometry as POSCAR:
```
CsZrFe2Rh
1.0
-3.5599 2.5986 -1.9938
-0.1657 -3.3408 -4.0584
-3.2719 -2.6843 2.3432
Zr Rh Fe Cs
1 1 2 1
Cartesian
-3.4987 -1.7132 -1.8545
0.0000 0.0000 0.0000
-1.7799 1.2993 -0.9969
-1.6359 -1.3421 1.1716
-0.0828 -1.6704 -2.0292
```

***

7.
First-principles (PBE) data for CsFe2Ru2 after structural relaxation, as listed in Alexandria via LeMat-Bulk.

Output
SG = P4/mbm, No. 127
Energy relative to the elements = 0.995 eV/atom
Crystal system = tetragonal
Total magnetization = 14.621 Bohr magnetons per cell

Geometry as POSCAR:
```
CsFe2Ru2
1.0
7.7800 0.0000 0.0000
0.0000 7.7800 0.0000
0.0000 0.0000 2.9748
Ru Cs Fe
4 2 4
Cartesian
1.0363 2.8537 0.0000
2.8537 6.7438 0.0000
6.7438 4.9263 0.0000
4.9263 1.0363 0.0000
0.0000 0.0000 0.0000
3.8900 3.8900 0.0000
2.8294 1.0606 1.4874
6.7194 2.8294 1.4874
4.9506 6.7194 1.4874
1.0606 4.9506 1.4874
```

***

8.
First-principles (PBE) data for CsFeRu3 after structural relaxation, as listed in Alexandria via LeMat-Bulk.

Output
Polymorph energy (0 for the lowest one) = 0 kJ/mol of formula units
SG = Pm-3m, No. 221
Energy relative to the elements = 1.651 eV/atom
Crystal system = cubic
Total magnetization = 0.000 Bohr magnetons per cell

Geometry as POSCAR:
```
CsFeRu3
1.0
-2.9633 2.4564 2.5651
1.5039 -2.1585 3.8044
3.2175 3.2713 0.5841
Ru Cs Fe
3 1 1
Cartesian
-1.4816 1.2282 1.2825
0.7520 -1.0792 1.9022
1.6087 1.6357 0.2921
0.8791 1.7846 3.4768
0.0000 0.0000 0.0000
```

***

9.
First-principles (PBE) data for CsFe3Ru after structural relaxation, as listed in Alexandria via LeMat-Bulk.

Output
SG = Pm-3m, No. 221
Energy relative to the elements = 2.884 eV/atom
Crystal system = cubic
Total magnetization = 8.150 Bohr magnetons per cell

Geometry as POSCAR:
```
CsFe3Ru
1.0
4.6476 0.0000 0.0000
0.0000 4.6476 0.0000
0.0000 0.0000 4.6476
Fe Cs Ru
3 1 1
Cartesian
0.0000 0.0000 2.3238
0.0000 2.3238 0.0000
2.3238 0.0000 0.0000
0.0000 0.0000 0.0000
2.3238 2.3238 2.3238
```

***

10.
First-principles (PBE) data for CsFeRu3 after structural relaxation, as listed in Alexandria via LeMat-Bulk.

Output
Polymorph energy (0 for the lowest one) = 854 kJ/mol of formula units
SG = Pm-3m, No. 221
Energy relative to the elements = 3.422 eV/atom
Crystal system = cubic
Total magnetization = 0.289 Bohr magnetons per cell

Geometry as POSCAR:
```
CsFeRu3
1.0
4.8298 0.0000 0.0000
0.0000 4.8298 0.0000
0.0000 0.0000 4.8298
Fe Ru Cs
1 3 1
Cartesian
2.4149 2.4149 2.4149
2.4149 0.0000 0.0000
0.0000 0.0000 2.4149
0.0000 2.4149 0.0000
0.0000 0.0000 0.0000
```

***

11.
First-principles (PBE) data for CsFe2RuW after structural relaxation, as listed in Alexandria via LeMat-Bulk.

Output
SG = P4/mmm, No. 123
Energy relative to the elements = 1.631 eV/atom
Crystal system = tetragonal
Total magnetization = 6.649 Bohr magnetons per cell

Geometry as POSCAR:
```
CsFe2RuW
1.0
4.9707 0.0000 0.0000
0.0000 4.6895 0.0000
0.0000 0.0000 4.9707
Fe Cs W Ru
2 1 1 1
Cartesian
2.4853 0.0000 0.0000
0.0000 0.0000 2.4853
2.4853 2.3447 2.4853
0.0000 2.3447 0.0000
0.0000 0.0000 0.0000
```

***

12.
First-principles (PBE) data for CsZr2FeRu after structural relaxation, as listed in Alexandria via LeMat-Bulk.

Output
SG = P4/mmm, No. 123
Energy relative to the elements = 0.892 eV/atom
Crystal system = tetragonal
Total magnetization = 0.000 Bohr magnetons per cell

Geometry as POSCAR:
```
CsZr2FeRu
1.0
-1.2365 1.0379 -4.7139
-4.5392 -0.1052 1.1675
0.1527 4.8721 1.0327
Fe Zr Ru Cs
1 2 1 1
Cartesian
0.0000 0.0000 0.0000
-0.6182 0.5190 -2.3570
0.0763 2.4360 0.5163
-2.2696 -0.0526 0.5837
-2.8115 2.9024 -1.2569
```